Record 1
A geometry-optimized Pr6NiAg2 structure, computed with PBE.

Results
The formation energy comes out at -0.086 eV per atom. The calculation puts the distance to the lowest polymorph of the same formula at 18 meV/atom.

a b c (Å): 8.8247 8.8247 8.8247
angles (deg): 72.67 70.04 111.14
Sites, in units of the cell vectors:
Ag1 0.3539 0.0000 0.6461
Ag2 0.6461 0.0000 0.3539
Ag3 0.8640 0.3640 0.5000
Ag4 0.1360 0.6360 0.5000
Pr1 0.6667 0.3895 0.2773
Pr2 0.8341 0.2525 0.9134
Pr3 0.5502 0.7330 0.1828
Pr4 0.6667 0.9440 0.7227
Pr5 0.1659 0.2525 0.5816
Pr6 0.4498 0.2670 0.8172
Pr7 0.3333 0.0560 0.2773
Pr8 0.1659 0.7475 0.0866
Pr9 0.0842 0.2670 0.1828
Pr10 0.9158 0.7330 0.8172
Pr11 0.8341 0.7475 0.4184
Pr12 0.3333 0.6105 0.7227
Ni1 0.5000 0.5000 0.0000
Ni2 0.0000 0.0000 0.0000

---

Record 2
A geometry-optimized MgPbBr2 structure, computed with PBE.

Results
The calculation puts the distance to the lowest polymorph of the same formula at 245 meV/atom. For the raw formation energy, the calculation gives -669 meV per atom.

a b c (Å): 7.5177 7.5177 7.5177
angles (deg): 152.06 139.29 50.11
Sites, in units of the cell vectors:
Br1 0.6688 0.1688 0.5000
Br2 0.9589 0.9589 0.0000
Mg1 0.5316 0.5316 0.0000
Pb1 0.3407 0.8407 0.5000

---

Record 3
A geometry-optimized LiNi2MoN structure, computed with PBE.

Results
For the raw formation energy, the calculation gives -6 meV per atom.

a b c (Å): 3.7986 3.7986 4.0414
angles (deg): 90.00 90.00 90.00
Last column: magnetic moment on the atom in μB.
Sites, in units of the cell vectors:
Ni1 0.0000 0.5000 0.0000  0.30
Ni2 0.5000 0.0000 0.0000  0.30
Mo1 0.0000 0.0000 0.5000  0.76
N1 0.0000 0.0000 0.0000  -0.01
Li1 0.5000 0.5000 0.5000  0.03

---

Record 4
A geometry-optimized Np2InNi2 structure, computed with PBE.

Results
The formation energy comes out at 0.042 eV per atom.

a b c (Å): 7.2392 7.2392 3.7330
angles (deg): 90.00 90.00 90.00
Last column: magnetic moment on the atom in μB.
Sites, in units of the cell vectors:
Np1 0.8345 0.3345 0.5000  3.66
Np2 0.6655 0.8345 0.5000  3.66
Np3 0.1655 0.6655 0.5000  3.66
Np4 0.3345 0.1655 0.5000  3.66
Ni1 0.8700 0.6300 0.0000  -0.21
Ni2 0.6300 0.1300 0.0000  -0.21
Ni3 0.3700 0.8700 0.0000  -0.21
Ni4 0.1300 0.3700 0.0000  -0.21
In1 0.5000 0.5000 0.0000  -0.02
In2 0.0000 0.0000 0.0000  -0.02

---

Record 5
A geometry-optimized Li2ZnNi structure, computed with PBE.

Results
The formation energy comes out at -0.135 eV per atom.

a b c (Å): 4.1854 4.1854 4.1539
angles (deg): 119.73 119.73 90.91
Sites, in units of the cell vectors:
Li1 0.2499 0.7501 0.5000
Li2 0.0004 0.9996 0.0000
Zn1 0.7501 0.2499 0.5000
Ni1 0.4996 0.5004 0.0000

---

Record 6
A geometry-optimized LiDy4Hg7 structure, computed with PBE.

Results
The formation energy comes out at -0.322 eV per atom.

a b c (Å): 5.2448 9.6643 6.9717
angles (deg): 78.54 67.90 74.26
Sites, in units of the cell vectors:
Hg1 0.5000 0.0000 0.0000
Hg2 0.1937 0.0773 0.5353
Hg3 0.9228 0.3345 0.8199
Hg4 0.0772 0.6655 0.1801
Hg5 0.6381 0.4680 0.2557
Hg6 0.3619 0.5320 0.7443
Hg7 0.8063 0.9227 0.4647
Dy1 0.5795 0.2244 0.6165
Dy2 0.2648 0.3138 0.1566
Dy3 0.4205 0.7756 0.3835
Dy4 0.7352 0.6862 0.8434
Li1 0.0000 0.0000 0.0000

---

Record 7
A geometry-optimized SrLiPr2Tl4 structure, computed with PBE.

Results
The formation energy comes out at -0.333 eV per atom.

a b c (Å): 5.4678 5.4678 9.7319
angles (deg): 73.68 73.68 60.00
Sites, in units of the cell vectors:
Tl1 0.1267 0.1267 0.6200
Tl2 0.6179 0.6179 0.1462
Tl3 0.3821 0.3821 0.8538
Tl4 0.8733 0.8733 0.3800
Li1 0.5000 0.5000 0.5000
Sr1 0.0000 0.0000 0.0000
Pr1 0.7566 0.7566 0.7301
Pr2 0.2434 0.2434 0.2699

---

Record 8
A geometry-optimized Cr5Ir structure, computed with PBE.

Results
The formation energy comes out at 0.017 eV per atom. The calculation puts the distance to the lowest polymorph of the same formula at 22 meV/atom.

a b c (Å): 4.7674 4.7674 5.8821
angles (deg): 72.22 72.22 35.13
Sites, in units of the cell vectors:
Cr1 0.5000 0.5000 0.0000
Cr2 0.1686 0.1686 0.1499
Cr3 0.1784 0.1784 0.6752
Cr4 0.8216 0.8216 0.3248
Cr5 0.8314 0.8314 0.8501
Ir1 0.5000 0.5000 0.5000

---

| no. | size of the total moment (μB/f.u.) |
| --- | --- |
| 1 | 0.00 |
| 2 | 0.00 |
| 3 | 1.46 |
| 4 | 7.46 |
| 5 | 0.00 |
| 6 | 0.00 |
| 7 | 0.00 |
| 8 | 0.00 |